Density functional theory data (PBE+U) for crystalline CaCrCdF6 at its relaxed geometry.

```
CaCrCdF6
1.0
-0.309 -5.611 1.113
3.578 1.927 -4.038
6.830 0.910 6.487
Cr F Ca Cd
2 12 2 2
Direct
0.333 0.667 0.750
0.667 0.333 0.250
0.978 0.650 0.368
0.978 0.328 0.132
0.328 0.978 0.632
0.022 0.350 0.632
0.328 0.350 0.868
0.350 0.022 0.132
0.672 0.022 0.368
0.672 0.650 0.132
0.650 0.978 0.868
0.650 0.672 0.632
0.022 0.672 0.868
0.350 0.328 0.368
0.667 0.333 0.750
0.333 0.667 0.250
0.000 0.000 0.500
0.000 0.000 0.000
```

- Final energy: -5.18 eV per atom